DyY2Er2Tm2Cu2Te2 after structural relaxation, computed with PBE.

Values from the calculation:
Raw total energy   -55.761 eV for the cell shown

abc: 9.2783 9.2783 9.2783
angles: 155.44 67.48 118.26
Atoms (fractional coordinates):
Cu 0.6468 0.4081 0.2387
Cu 0.1694 0.4081 0.7613
Dy 0.4800 0.4800 0.0000
Er 0.0235 0.8939 0.1296
Er 0.7643 0.8939 0.8704
Te 0.1405 0.1405 0.0000
Te 0.7435 0.2435 0.5000
Tm 0.4143 0.0990 0.3153
Tm 0.7837 0.0990 0.6847
Y 0.0961 0.7401 0.3560
Y 0.3841 0.7401 0.6440